## Ce3ZrO8 (PBE)

Data for Ce3ZrO8 after structural relaxation.

POSCAR file:
```
Ce3ZrO8
1.0
3.8011 0.0000 0.0000
0.0000 3.8011 0.0000
0.0000 0.0000 10.8022
Ce Zr O
3 1 8
Direct
0.0000 0.0000 0.0000
0.5000 0.5000 0.2551
0.5000 0.5000 0.7449
0.0000 0.0000 0.5000
0.0000 0.5000 0.1280
0.0000 0.5000 0.3830
0.0000 0.5000 0.6170
0.0000 0.5000 0.8720
0.5000 0.0000 0.1280
0.5000 0.0000 0.3830
0.5000 0.0000 0.6170
0.5000 0.0000 0.8720
```

Output
Raw total energy   -0.327 Ha/atom
Raw formation energy   -3925 kJ/mol of formula units
Mass density   6.805 g cm⁻³

## HfTlCl2 (PBE)

Data for HfTlCl2 after structural relaxation.

POSCAR file:
```
HfTlCl2
1.0
1.7427 1.0061 10.4160
-1.7427 1.0061 10.4160
0.0000 -2.0123 10.4160
Hf Tl Cl
1 1 2
Direct
0.0000 0.0000 0.0000
0.5000 0.5000 0.5000
0.0757 0.0757 0.0757
0.9243 0.9243 0.9243
```

Output
Raw total energy   -0.174 Ha/atom
Raw formation energy   -286 kJ/mol of formula units
Mass density   6.876 g cm⁻³